The following is a DFT calculation (GGA-PBE) of a relaxed structure of SrAl2Mo.

Summary:
DOS at the Fermi energy in states/eV per cell: 11.25
ΔE_f in eV/atom: 0.59
Spin magnetization in μB per atom: 0.45
Mass density in kg/m3: 3402
Offset from the most stable computed form in eV per atom: 0.5664

Cell: 5.088 5.088 17.910 Å, 90.00 90.00 90.00°
Element x y z (fractional)
Sr 0.000 0.000 0.000
Sr 0.000 0.500 0.250
Sr 0.500 0.000 0.750
Sr 0.500 0.500 0.500
Al 0.029 0.250 0.625
Al 0.250 0.529 0.875
Al 0.250 0.971 0.375
Al 0.471 0.250 0.125
Al 0.529 0.750 0.125
Al 0.750 0.029 0.375
Al 0.750 0.471 0.875
Al 0.971 0.750 0.625
Mo 0.000 0.000 0.500
Mo 0.000 0.500 0.750
Mo 0.500 0.000 0.250
Mo 0.500 0.500 0.000